A relaxed structure of YTlSi. Source: the Alexandria database, functional PBE-GGA.

a = 3.754 Å, b = 3.754 Å, c = 12.571 Å
α = 81.41°, β = 81.41°, γ = 60.00°
Fractional coordinates of all 6 atoms:
Si 0.680 0.680 0.959
Y 0.599 0.599 0.202
Tl 0.136 0.136 0.593
Si 0.320 0.320 0.041
Tl 0.864 0.864 0.407
Y 0.401 0.401 0.798

Summary:
Relative energy among the computed polymorphs   0 meV per atom